[1]
Compound: La5Pm2YSc
Source: Alexandria
Functional: PBE
Structure: optimized geometry

E_form in meV/atom: 113

Unit cell a=11.3958 b=11.3958 c=10.4044 alpha=90.00 beta=90.00 gamma=152.04
Atoms (fractional coordinates):
1 La 0.0003 0.9997 0.0000
2 La 0.9997 0.0003 0.5000
3 La 0.1293 0.8707 0.7504
4 La 0.2226 0.7774 0.4404
5 La 0.2241 0.7759 0.0632
6 La 0.4993 0.5007 0.7501
7 La 0.5007 0.4993 0.2501
8 La 0.7759 0.2241 0.5632
9 La 0.7774 0.2226 0.9404
10 La 0.8707 0.1293 0.2504
11 Pm 0.3844 0.6156 0.4979
12 Pm 0.3856 0.6144 0.0022
13 Pm 0.6144 0.3856 0.5022
14 Pm 0.6156 0.3844 0.9979
15 Y 0.1027 0.8973 0.2501
16 Y 0.8973 0.1027 0.7501
17 Sc 0.2941 0.7059 0.7514
18 Sc 0.7059 0.2941 0.2514

[2]
Compound: BaY2ScCo
Source: Alexandria
Functional: PBE
Structure: optimized geometry

E_form in meV/atom: 13

Unit cell a=5.4218 b=5.4218 c=5.1676 alpha=90.00 beta=90.00 gamma=90.00
Atoms (fractional coordinates):
1 Ba 0.0000 0.0000 0.0000
2 Y 0.0000 0.5000 0.5000
3 Y 0.5000 0.0000 0.5000
4 Sc 0.5000 0.5000 0.0000
5 Co 0.5000 0.5000 0.5000

[3]
Compound: Ac8Ir3PdSe4
Source: Alexandria
Functional: PBE
Structure: optimized geometry

ΔE_f (raw) in eV/atom: -1.284

Unit cell a=9.1757 b=9.1757 c=9.1757 alpha=56.52 beta=56.52 gamma=56.52
Atoms (fractional coordinates):
1 Ac 0.2342 0.7456 0.7456
2 Ac 0.2411 0.2411 0.2411
3 Ac 0.2544 0.2544 0.7658
4 Ac 0.2544 0.7658 0.2544
5 Ac 0.7456 0.2342 0.7456
6 Ac 0.7456 0.7456 0.2342
7 Ac 0.7589 0.7589 0.7589
8 Ac 0.7658 0.2544 0.2544
9 Ir 0.0000 0.0000 0.5000
10 Ir 0.0000 0.5000 0.0000
11 Ir 0.5000 0.0000 0.0000
12 Pd 0.5000 0.5000 0.5000
13 Se 0.0000 0.0000 0.0000
14 Se 0.0000 0.5000 0.5000
15 Se 0.5000 0.0000 0.5000
16 Se 0.5000 0.5000 0.0000

[4]
Compound: Ac6Tl3Ni
Source: Alexandria
Functional: PBE
Structure: optimized geometry

E_form in meV/atom: -73

Unit cell a=10.0125 b=10.0125 c=8.2858 alpha=90.00 beta=90.00 gamma=105.73
Atoms (fractional coordinates):
1 Ac 0.0038 0.9962 0.5000
2 Ac 0.0709 0.6001 0.4105
3 Ac 0.2440 0.7560 0.9783
4 Ac 0.3255 0.3606 0.9605
5 Ac 0.3606 0.3255 0.4605
6 Ac 0.3999 0.9291 0.4105
7 Ac 0.6001 0.0709 0.9105
8 Ac 0.6394 0.6745 0.9605
9 Ac 0.6745 0.6394 0.4605
10 Ac 0.7560 0.2440 0.4783
11 Ac 0.9291 0.3999 0.9105
12 Ac 0.9962 0.0038 0.0000
13 Tl 0.0594 0.2878 0.2459
14 Tl 0.2878 0.0594 0.7459
15 Tl 0.3712 0.6288 0.6606
16 Tl 0.6288 0.3712 0.1606
17 Tl 0.7122 0.9406 0.2459
18 Tl 0.9406 0.7122 0.7459
19 Ni 0.1341 0.8659 0.2520
20 Ni 0.8659 0.1341 0.7520

[5]
Compound: NbBi3F
Source: Alexandria
Functional: PBE
Structure: optimized geometry

E above lowest polymorph in eV per formula unit: 0.37
ΔE_f (raw) in eV/atom: 0.076

Unit cell a=4.9965 b=4.9965 c=4.9965 alpha=90.00 beta=90.00 gamma=90.00
Atoms (fractional coordinates):
1 Nb 0.0000 0.0000 0.0000
2 Bi 0.0000 0.5000 0.5000
3 Bi 0.5000 0.0000 0.5000
4 Bi 0.5000 0.5000 0.0000
5 F 0.5000 0.5000 0.5000